Record 1
! LiInAg2, single point on PBEsol structure, DFT meta-GGA SCAN; values from VASP
&SYSTEM
  ibrav = 0, nat = 4, ntyp = 3
/
ATOMIC_SPECIES
Li 6.94 Li.upf
In 114.82 In.upf
Ag 107.87 Ag.upf
CELL_PARAMETERS angstrom
-2.0401 2.0401 4.1156
2.0401 -2.0401 4.1156
2.0401 2.0401 -4.1156
ATOMIC_POSITIONS angstrom
Li 0.0000 0.0000 0.0000
In 2.0401 0.0000 2.0578
Ag 0.0000 0.0000 4.1156
Ag 0.0000 2.0401 2.0578
! space group = I-4m2 (119)
! ΔE_f = -77.4 kJ/mol of formula units
! total magnetic moment = 0.000 μB per atom

***

Record 2
! IrRu, single point on PBEsol structure, DFT meta-GGA SCAN; values from VASP
&SYSTEM
  ibrav = 0, nat = 4, ntyp = 2
/
ATOMIC_SPECIES
Ir 192.22 Ir.upf
Ru 101.07 Ru.upf
CELL_PARAMETERS angstrom
4.3005 0.0000 0.0000
0.0000 2.7056 0.0000
0.0000 0.0000 4.6961
ATOMIC_POSITIONS angstrom
Ir 1.0751 0.0000 0.7890
Ir 3.2253 0.0000 3.9072
Ru 1.0751 1.3528 3.1258
Ru 3.2253 1.3528 1.5704
! space group = Pmma (51)
! ΔE_f = -14.4 kJ/mol of formula units
! total magnetic moment = 0.000 μB per atom

***

Record 3
! LiCoPO4, single point on PBEsol structure, DFT meta-GGA SCAN; values from VASP
&SYSTEM
  ibrav = 0, nat = 42, ntyp = 4
/
ATOMIC_SPECIES
Li 6.94 Li.upf
Co 58.93 Co.upf
P 30.97 P.upf
O 16.00 O.upf
CELL_PARAMETERS angstrom
7.3470 0.0000 0.0000
-3.6735 6.3627 0.0000
0.0000 0.0000 9.6632
ATOMIC_POSITIONS angstrom
Li -1.6913 3.7521 0.0000
Li 1.2698 3.0219 0.0000
Li 1.9822 2.6106 4.8316
Li 0.4216 5.9514 0.0000
Li 4.0951 0.4113 4.8316
Li 4.9433 3.3408 4.8316
Co -0.5716 1.7391 2.1343
Co -1.8816 5.9881 2.1343
Co 1.7919 0.3745 6.9659
Co 2.4532 4.9981 2.1343
Co 3.1019 4.6236 6.9659
Co 6.1267 1.3646 6.9659
P 0.0000 0.0000 4.6729
P 0.0000 0.0000 9.5045
P 0.0000 4.2418 2.9699
P 0.0000 4.2418 6.9675
P 3.6735 2.1209 2.1359
P 3.6735 2.1209 7.8015
O 0.0000 0.0000 3.0666
O 0.0000 0.0000 7.8982
O -2.4550 5.5527 0.3172
O -0.9591 3.1573 6.3961
O 0.0922 1.4603 0.3172
O -1.3930 4.6975 3.4914
O 1.2185 0.8100 5.1488
O 0.3018 2.8076 3.4914
O 0.0000 4.2418 1.4250
O 0.0000 4.2418 8.4985
O -0.4596 5.6146 6.3961
O 2.2805 1.6652 8.3231
O 3.2139 0.7480 1.5645
O 1.4187 3.9534 6.3961
O 1.0911 5.2203 3.4914
O 2.7144 3.2054 1.5645
O 3.6735 2.1209 3.6669
O 3.6735 2.1209 6.2566
O 4.7646 1.1424 8.3231
O 2.3628 5.7124 0.3172
O 3.9753 3.5551 8.3231
O 6.0363 0.6503 5.1488
O 5.0922 2.4093 1.5645
O 3.7657 4.9024 5.1488
! space group = P31c (159)
! total magnetic moment = 0.429 μB per atom
! E_form (uncorrected) = -2.16 eV/atom

***

Record 4
! CaBiI2O, single point on PBEsol structure, DFT meta-GGA SCAN; values from VASP
&SYSTEM
  ibrav = 0, nat = 5, ntyp = 4
/
ATOMIC_SPECIES
Ca 40.08 Ca.upf
Bi 208.98 Bi.upf
I 126.90 I.upf
O 16.00 O.upf
CELL_PARAMETERS angstrom
6.0008 0.0000 0.0000
0.0000 6.0008 0.0000
0.0000 0.0000 4.0502
ATOMIC_POSITIONS angstrom
Ca 0.0000 0.0000 0.0000
Bi 3.0004 3.0004 2.0251
I 0.0000 3.0004 0.0000
I 3.0004 0.0000 0.0000
O 0.0000 0.0000 2.0251
! space group = P4/mmm (123)
! total magnetic moment = 0.094 μB per atom
! E_form (uncorrected) = -0.67 eV/atom

***

Record 5
! Li2HgRu, single point on PBEsol structure, DFT meta-GGA SCAN; values from VASP
&SYSTEM
  ibrav = 0, nat = 4, ntyp = 3
/
ATOMIC_SPECIES
Li 6.94 Li.upf
Hg 200.59 Hg.upf
Ru 101.07 Ru.upf
CELL_PARAMETERS angstrom
2.6620 0.0000 0.0000
0.0000 4.2708 0.0000
0.0000 0.0000 5.4005
ATOMIC_POSITIONS angstrom
Li 0.0000 0.0000 0.0000
Li 1.3310 2.1354 1.4076
Hg 1.3310 2.1354 4.0127
Ru 0.0000 0.0000 2.6716
! space group = Pmm2 (25)
! ΔE_f = 53.6 kJ/mol of formula units
! total magnetic moment = 0.000 μB per atom

***

Record 6
! La5Rh, single point on PBEsol structure, DFT meta-GGA SCAN; values from VASP
&SYSTEM
  ibrav = 0, nat = 6, ntyp = 2
/
ATOMIC_SPECIES
La 138.91 La.upf
Rh 102.91 Rh.upf
CELL_PARAMETERS angstrom
3.6176 0.0000 0.0000
0.0000 3.6176 0.0000
0.0000 0.0000 13.4624
ATOMIC_POSITIONS angstrom
La 0.0000 0.0000 0.0000
La 0.0000 0.0000 5.0846
La 0.0000 0.0000 8.3778
La 1.8088 1.8088 2.4918
La 1.8088 1.8088 10.9706
Rh 1.8088 1.8088 6.7312
! space group = P4/mmm (123)
! ΔE_f = -128.1 kJ/mol of formula units
! total magnetic moment = 0.000 μB per atom

***

Record 7
! Zr3IrSe, single point on PBEsol structure, DFT meta-GGA SCAN; values from VASP
&SYSTEM
  ibrav = 0, nat = 5, ntyp = 3
/
ATOMIC_SPECIES
Zr 91.22 Zr.upf
Ir 192.22 Ir.upf
Se 78.96 Se.upf
CELL_PARAMETERS angstrom
4.8045 0.0000 0.0000
0.0000 4.8045 0.0000
0.0000 0.0000 4.8045
ATOMIC_POSITIONS angstrom
Zr 0.0000 0.0000 2.4022
Zr 0.0000 2.4022 0.0000
Zr 2.4022 0.0000 0.0000
Ir 2.4022 2.4022 2.4022
Se 0.0000 0.0000 0.0000
! space group = Pm-3m (221)
! total magnetic moment = 0.000 μB per atom
! E_form (uncorrected) = 0.07 eV/atom

***

Record 8
! In5Se5Cl, single point on PBEsol structure, DFT meta-GGA SCAN; values from VASP
&SYSTEM
  ibrav = 0, nat = 22, ntyp = 3
/
ATOMIC_SPECIES
In 114.82 In.upf
Se 78.96 Se.upf
Cl 35.45 Cl.upf
CELL_PARAMETERS angstrom
9.1534 0.0000 0.0000
0.0000 4.0887 0.0000
-0.6638 0.0000 15.1291
ATOMIC_POSITIONS angstrom
In 0.2972 1.0222 2.3124
In 0.8597 1.0222 8.4928
In 1.6490 3.0665 11.9142
In 3.0454 3.0665 0.8063
In 3.2737 1.0222 5.3253
In 5.2159 3.0665 9.8038
In 5.4442 1.0222 14.3228
In 6.8406 1.0222 3.2149
In 7.6299 3.0665 6.6363
In 8.1924 3.0665 12.8167
Se 0.0953 1.0222 5.9409
Se 0.7901 1.0222 15.0607
Se 1.7779 3.0665 3.2320
Se 2.5936 1.0222 10.4676
Se 3.7258 3.0665 13.5488
Se 4.7638 1.0222 1.5803
Se 5.8960 3.0665 4.6616
Se 6.7117 1.0222 11.8971
Se 7.6995 3.0665 0.0684
Se 8.3943 3.0665 9.1882
Cl 2.6730 3.0665 7.5422
Cl 5.8166 1.0222 7.5869
! space group = P2_1/m (11)
! total magnetic moment = 0.000 μB per atom
! E_form (uncorrected) = -0.65 eV/atom

***

Record 9
! PbW2I, single point on PBEsol structure, DFT meta-GGA SCAN; values from VASP
&SYSTEM
  ibrav = 0, nat = 4, ntyp = 3
/
ATOMIC_SPECIES
Pb 207.20 Pb.upf
W 183.84 W.upf
I 126.90 I.upf
CELL_PARAMETERS angstrom
0.0000 3.3442 3.3442
3.3442 0.0000 3.3442
3.3442 3.3442 0.0000
ATOMIC_POSITIONS angstrom
Pb 0.0000 0.0000 0.0000
W 1.6721 1.6721 1.6721
W 5.0164 5.0164 5.0164
I 3.3442 3.3442 3.3442
! space group = Fm-3m (225)
! total magnetic moment = 0.000 μB per atom
! E_form (uncorrected) = 1.64 eV/atom

***

Record 10
! Sr2HfCrO6, single point on PBEsol structure, DFT meta-GGA SCAN; values from VASP
&SYSTEM
  ibrav = 0, nat = 10, ntyp = 4
/
ATOMIC_SPECIES
Sr 87.62 Sr.upf
Hf 178.49 Hf.upf
Cr 52.00 Cr.upf
O 16.00 O.upf
CELL_PARAMETERS angstrom
0.0000 3.9374 3.9374
3.9374 0.0000 3.9374
3.9374 3.9374 0.0000
ATOMIC_POSITIONS angstrom
Sr 1.9687 1.9687 1.9687
Sr 5.9061 5.9061 5.9061
Hf 0.0000 0.0000 0.0000
Cr 3.9374 3.9374 3.9374
O 3.9374 3.9374 2.0409
O 3.9374 2.0409 3.9374
O 5.8340 3.9374 3.9374
O 2.0409 3.9374 3.9374
O 3.9374 5.8340 3.9374
O 3.9374 3.9374 5.8340
! space group = Fm-3m (225)
! total magnetic moment = 0.200 μB per atom
! E_form (uncorrected) = -3.21 eV/atom

***

Record 11
! KCrPO2, single point on PBEsol structure, DFT meta-GGA SCAN; values from VASP
&SYSTEM
  ibrav = 0, nat = 5, ntyp = 4
/
ATOMIC_SPECIES
K 39.10 K.upf
Cr 52.00 Cr.upf
P 30.97 P.upf
O 16.00 O.upf
CELL_PARAMETERS angstrom
4.2654 0.0000 0.0000
0.0000 4.2654 0.0000
0.0000 0.0000 5.7757
ATOMIC_POSITIONS angstrom
K 0.0000 0.0000 0.0000
Cr 2.1327 2.1327 2.8878
P 0.0000 0.0000 2.8878
O 0.0000 2.1327 0.0000
O 2.1327 0.0000 0.0000
! space group = P4/mmm (123)
! total magnetic moment = 1.047 μB per atom
! E_form (uncorrected) = 1.06 eV/atom

***

Record 12
! Cr3O2F2, single point on PBEsol structure, DFT meta-GGA SCAN; values from VASP
&SYSTEM
  ibrav = 0, nat = 14, ntyp = 3
/
ATOMIC_SPECIES
Cr 52.00 Cr.upf
O 16.00 O.upf
F 19.00 F.upf
CELL_PARAMETERS angstrom
5.8302 0.0000 0.0000
0.0000 6.3382 0.0000
-2.4124 0.0000 4.8817
ATOMIC_POSITIONS angstrom
Cr 0.0000 0.0000 0.0000
Cr -1.2062 3.1691 2.4409
Cr 0.8770 0.7868 3.6845
Cr 2.0832 2.3823 1.2437
Cr 1.3346 3.9559 3.6381
Cr 2.5408 5.5514 1.1972
O 1.8138 0.7711 0.1255
O 0.6076 2.3980 2.5663
O 2.8102 3.9402 2.3154
O 1.6040 5.5671 4.7563
F -0.6849 3.9357 4.2331
F 0.5213 5.5716 1.7923
F 2.8965 0.7666 3.0895
F 4.1027 2.4025 0.6486
! space group = P2_1/c (14)
! total magnetic moment = 1.714 μB per atom
! E_form (uncorrected) = -2.16 eV/atom

***

What is the formula in the ninth record? PbW2I